a | # Ti2VPd, optimized geometry, DFT PBE-GGA
data_Ti2VPd
_symmetry_space_group_name_H-M 'I -4 2 d'
_symmetry_Int_Tables_number 122
_symmetry_space_group_name_Hall 'I -4 2bw'
_cell_length_a 3.793
_cell_length_b 3.793
_cell_length_c 18.564
_cell_angle_alpha 90.00
_cell_angle_beta 90.00
_cell_angle_gamma 90.00
loop_
_atom_site_label
_atom_site_fract_x
_atom_site_fract_y
_atom_site_fract_z
Ti1 0.246 0.250 0.125
V1 0.000 0.000 0.000
Pd1 0.000 0.000 0.500
# Density   6295 kg/m³
# Fermi-level density of states   22.48 states/eV per cell

---

b | # Ti2VPd, optimized geometry, DFT PBE-GGA
data_Ti2VPd
_symmetry_space_group_name_H-M 'F m -3 m'
_symmetry_Int_Tables_number 225
_symmetry_space_group_name_Hall '-F 4 2 3'
_cell_length_a 6.264
_cell_length_b 6.264
_cell_length_c 6.264
_cell_angle_alpha 90.00
_cell_angle_beta 90.00
_cell_angle_gamma 90.00
loop_
_atom_site_label
_atom_site_fract_x
_atom_site_fract_y
_atom_site_fract_z
Ti1 0.250 0.250 0.250
V1 0.000 0.000 0.000
Pd1 0.000 0.000 0.500
# Density   6838 kg/m³
# Fermi-level density of states   18.84 states/eV per cell

---

According to the calculations, the structures order from most to least stable as b, a.

---

a | # Ti2V2Pd, optimized geometry, DFT PBE-GGA
data_Ti2V2Pd
_symmetry_space_group_name_H-M 'I 4/m m m'
_symmetry_Int_Tables_number 139
_symmetry_space_group_name_Hall '-I 4 2'
_cell_length_a 3.732
_cell_length_b 3.732
_cell_length_c 11.688
_cell_angle_alpha 90.00
_cell_angle_beta 90.00
_cell_angle_gamma 90.00
loop_
_atom_site_label
_atom_site_fract_x
_atom_site_fract_y
_atom_site_fract_z
Ti1 0.000 0.500 0.250
V1 0.000 0.000 0.083
Pd1 0.000 0.000 0.500
# Density   6201 kg/m³
# Fermi-level density of states   14.46 states/eV per cell

---

b | # Ti2V2Pd, optimized geometry, DFT PBE-GGA
data_Ti2V2Pd
_symmetry_space_group_name_H-M 'P 4/m b m'
_symmetry_Int_Tables_number 127
_symmetry_space_group_name_Hall '-P 4 2ab'
_cell_length_a 6.647
_cell_length_b 6.647
_cell_length_c 3.540
_cell_angle_alpha 90.00
_cell_angle_beta 90.00
_cell_angle_gamma 90.00
loop_
_atom_site_label
_atom_site_fract_x
_atom_site_fract_y
_atom_site_fract_z
Ti1 0.169 0.331 0.000
V1 0.126 0.626 0.500
Pd1 0.000 0.000 0.500
# Density   6457 kg/m³
# Fermi-level density of states   11.98 states/eV per cell

---

According to the calculations, the structures order from most to least stable as b, a.

---

a | # TiV3Pd, optimized geometry, DFT PBE-GGA
data_TiV3Pd
_symmetry_space_group_name_H-M 'P m -3 m'
_symmetry_Int_Tables_number 221
_symmetry_space_group_name_Hall '-P 4 2 3'
_cell_length_a 4.382
_cell_length_b 4.382
_cell_length_c 4.382
_cell_angle_alpha 90.00
_cell_angle_beta 90.00
_cell_angle_gamma 90.00
loop_
_atom_site_label
_atom_site_fract_x
_atom_site_fract_y
_atom_site_fract_z
Ti1 0.000 0.000 0.000
V1 0.000 0.000 0.500
Pd1 0.500 0.500 0.500
# Density   6060 kg/m³
# Fermi-level density of states   7.08 states/eV per cell

---

b | # TiV3Pd, optimized geometry, DFT PBE-GGA
data_TiV3Pd
_symmetry_space_group_name_H-M 'P m -3 m'
_symmetry_Int_Tables_number 221
_symmetry_space_group_name_Hall '-P 4 2 3'
_cell_length_a 4.592
_cell_length_b 4.592
_cell_length_c 4.592
_cell_angle_alpha 90.00
_cell_angle_beta 90.00
_cell_angle_gamma 90.00
loop_
_atom_site_label
_atom_site_fract_x
_atom_site_fract_y
_atom_site_fract_z
Ti1 0.000 0.000 0.000
V1 0.000 0.500 0.500
Pd1 0.500 0.500 0.500
# Density   5265 kg/m³
# Fermi-level density of states   7.56 states/eV per cell

---

According to the calculations, the structures order from most to least stable as a, b.

---

a | # TiPd2W, optimized geometry, DFT PBE-GGA
data_TiPd2W
_symmetry_space_group_name_H-M 'I -4 2 d'
_symmetry_Int_Tables_number 122
_symmetry_space_group_name_Hall 'I -4 2bw'
_cell_length_a 7.084
_cell_length_b 7.084
_cell_length_c 5.343
_cell_angle_alpha 90.00
_cell_angle_beta 90.00
_cell_angle_gamma 90.00
loop_
_atom_site_label
_atom_site_fract_x
_atom_site_fract_y
_atom_site_fract_z
Ti1 0.000 0.000 0.000
Pd1 0.249 0.750 0.125
W1 0.000 0.000 0.500
# Density   11012 kg/m³
# Fermi-level density of states   16.28 states/eV per cell

---

b | # TiPd2W, optimized geometry, DFT PBE-GGA
data_TiPd2W
_symmetry_space_group_name_H-M 'F m -3 m'
_symmetry_Int_Tables_number 225
_symmetry_space_group_name_Hall '-F 4 2 3'
_cell_length_a 6.340
_cell_length_b 6.340
_cell_length_c 6.340
_cell_angle_alpha 90.00
_cell_angle_beta 90.00
_cell_angle_gamma 90.00
loop_
_atom_site_label
_atom_site_fract_x
_atom_site_fract_y
_atom_site_fract_z
Ti1 0.000 0.000 0.000
Pd1 0.250 0.250 0.250
W1 0.000 0.000 0.500
# Density   11589 kg/m³
# Fermi-level density of states   26.87 states/eV per cell

---

According to the calculations, the structures order from most to least stable as b, a.

---

a | # Ti2Pd2W, optimized geometry, DFT PBE-GGA
data_Ti2Pd2W
_symmetry_space_group_name_H-M 'C m m m'
_symmetry_Int_Tables_number 65
_symmetry_space_group_name_Hall '-C 2 2'
_cell_length_a 3.083
_cell_length_b 16.904
_cell_length_c 3.184
_cell_angle_alpha 90.00
_cell_angle_beta 90.00
_cell_angle_gamma 90.00
loop_
_atom_site_label
_atom_site_fract_x
_atom_site_fract_y
_atom_site_fract_z
Ti1 0.000 0.094 0.000
Pd1 0.000 0.318 0.500
W1 0.000 0.500 0.500
# Density   9854 kg/m³
# Fermi-level density of states   8.69 states/eV per cell

---

b | # Ti2Pd2W, optimized geometry, DFT PBE-GGA
data_Ti2Pd2W
_symmetry_space_group_name_H-M 'P 4/m b m'
_symmetry_Int_Tables_number 127
_symmetry_space_group_name_Hall '-P 4 2ab'
_cell_length_a 7.477
_cell_length_b 7.477
_cell_length_c 2.868
_cell_angle_alpha 90.00
_cell_angle_beta 90.00
_cell_angle_gamma 90.00
loop_
_atom_site_label
_atom_site_fract_x
_atom_site_fract_y
_atom_site_fract_z
Ti1 0.174 0.326 0.000
Pd1 0.128 0.628 0.500
W1 0.000 0.000 0.500
# Density   10200 kg/m³
# Fermi-level density of states   10.20 states/eV per cell

---

According to the calculations, the structures order from most to least stable as a, b.

---

a | # Y2TiPd2, optimized geometry, DFT PBE-GGA
data_Y2TiPd2
_symmetry_space_group_name_H-M 'P 4/m b m'
_symmetry_Int_Tables_number 127
_symmetry_space_group_name_Hall '-P 4 2ab'
_cell_length_a 6.916
_cell_length_b 6.916
_cell_length_c 4.555
_cell_angle_alpha 90.00
_cell_angle_beta 90.00
_cell_angle_gamma 90.00
loop_
_atom_site_label
_atom_site_fract_x
_atom_site_fract_y
_atom_site_fract_z
Y1 0.173 0.327 0.000
Ti1 0.000 0.000 0.500
Pd1 0.141 0.641 0.500
# Density   6684 kg/m³
# Fermi-level density of states   11.87 states/eV per cell

---

b | # Y2TiPd2, optimized geometry, DFT PBE-GGA
data_Y2TiPd2
_symmetry_space_group_name_H-M 'I 4/m m m'
_symmetry_Int_Tables_number 139
_symmetry_space_group_name_Hall '-I 4 2'
_cell_length_a 5.564
_cell_length_b 5.564
_cell_length_c 7.811
_cell_angle_alpha 90.00
_cell_angle_beta 90.00
_cell_angle_gamma 90.00
loop_
_atom_site_label
_atom_site_fract_x
_atom_site_fract_y
_atom_site_fract_z
Y1 0.000 0.500 0.250
Ti1 0.000 0.000 0.000
Pd1 0.000 0.000 0.332
# Density   6024 kg/m³
# Fermi-level density of states   4.48 states/eV per cell

---

According to the calculations, the structures order from most to least stable as a, b.